The following is a DFT calculation (GGA-PBE) of crystalline SrAc2Nd at its relaxed geometry.

Computed properties:
Space group ... P4/mmm (123)
Excess energy over the best structure of this formula in the dataset ... 0 meV per atom
Magnetic moment ... 0.00 μB per cell
Density of states at the Fermi level ... 1.467 states/eV/atom

Lattice parameters (Å, degrees): 3.959 3.959 11.262 90.00 90.00 90.00
Element x y z (fractional)
Sr (0.500, 0.500, 0.500)
Ac (0.000, 0.000, 0.774)
Ac (0.000, 0.000, 0.226)
Nd (0.500, 0.500, 0.000)